No. 1
Compound: Tl5InAu6
Source: Alexandria
Functional: PBE-GGA
Structure: relaxed

Cell and atoms, written as CIF:
```
data_Tl5InAu6
_cell_length_a 7.0604
_cell_length_b 12.4321
_cell_length_c 7.3926
_cell_angle_alpha 90.00
_cell_angle_beta 108.97
_cell_angle_gamma 90.00
_symmetry_space_group_name_H-M 'C 1 2/m 1'
_symmetry_Int_Tables_number 12
loop_
_symmetry_equiv_pos_as_xyz
'x,y,z'
'-x,-y,-z'
'-x,y,-z'
'x,-y,z'
'x+1/2,y+1/2,z'
'-x+1/2,-y+1/2,-z'
'-x+1/2,y+1/2,-z'
'x+1/2,-y+1/2,z'
loop_
_atom_site_label
_atom_site_type_symbol
_atom_site_fract_x
_atom_site_fract_y
_atom_site_fract_z
_atom_site_occupancy
Tl1 Tl 0.0000 0.0000 0.0000 1
Tl2 Tl 0.0000 0.1589 0.5000 1
Tl3 Tl 0.0000 0.3216 0.0000 1
In1 In 0.0000 0.5000 0.5000 1
Au1 Au 0.2265 0.5000 0.2412 1
Au2 Au 0.2358 0.3384 0.7378 1
```

Computed properties:
Uncorrected energy   -2.87 eV per atom
ΔH_f (0 K)   -0.01 eV per atom
Crystal system   monoclinic
ρ   12.55 g/cm³

---

No. 2
Compound: TlIn2Au
Source: Alexandria
Functional: PBE-GGA
Structure: relaxed

Cell and atoms, written as CIF:
```
data_TlIn2Au
_cell_length_a 3.7786
_cell_length_b 3.7786
_cell_length_c 26.3247
_cell_angle_alpha 90.00
_cell_angle_beta 90.00
_cell_angle_gamma 120.00
_symmetry_space_group_name_H-M 'R 3 m'
_symmetry_Int_Tables_number 160
_symmetry_space_group_name_Hall 'R 3 -2"'
loop_
_atom_site_label
_atom_site_type_symbol
_atom_site_fract_x
_atom_site_fract_y
_atom_site_fract_z
_atom_site_occupancy
Tl1 Tl 0.0000 0.0000 0.0000 1
In1 In 0.0000 0.0000 0.5686 1
In2 In 0.0000 0.0000 0.7633 1
Au1 Au 0.0000 0.0000 0.1664 1
```

Computed properties:
Uncorrected energy   -2.85 eV per atom
Distance to the lowest polymorph of the same formula   0.0500 eV per atom
ΔH_f (0 K)   -0.07 eV per atom
Crystal system   trigonal
ρ   9.66 g/cm³

---

No. 3
Compound: Tl2In2Au3
Source: Alexandria
Functional: PBE-GGA
Structure: relaxed

Cell and atoms, written as CIF:
```
data_Tl2In2Au3
_cell_length_a 11.8225
_cell_length_b 4.5977
_cell_length_c 8.3924
_cell_angle_alpha 90.00
_cell_angle_beta 130.23
_cell_angle_gamma 90.00
_symmetry_space_group_name_H-M 'C 1 2/m 1'
_symmetry_Int_Tables_number 12
loop_
_symmetry_equiv_pos_as_xyz
'x,y,z'
'-x,-y,-z'
'-x,y,-z'
'x,-y,z'
'x+1/2,y+1/2,z'
'-x+1/2,-y+1/2,-z'
'-x+1/2,y+1/2,-z'
'x+1/2,-y+1/2,z'
loop_
_atom_site_label
_atom_site_type_symbol
_atom_site_fract_x
_atom_site_fract_y
_atom_site_fract_z
_atom_site_occupancy
Tl1 Tl 0.1855 0.0000 0.0795 1
In1 In 0.1258 0.0000 0.4629 1
Au1 Au 0.0000 0.5000 0.5000 1
Au2 Au 0.0639 0.5000 0.2106 1
```

Computed properties:
Uncorrected energy   -2.99 eV per atom
ΔH_f (0 K)   -0.13 eV per atom
Crystal system   monoclinic
ρ   11.72 g/cm³